Computed, not measured: a relaxed structure of AcPrAu2 at the PBE level of DFT.

## Properties
energy above the most stable polymorph in this dataset: 102 meV/atom
Fermi-level density of states: 9.98 states/eV per cell
ΔE_f: -0.691 eV per atom

a b c (Å): 4.2970 4.2970 23.5300
angles (deg): 90.00 90.00 120.00
Space group R-3m (No. 166, hexagonal axes)
One atom of each set of equivalent atoms:
Ac 0.0000 0.0000 0.0000 [3 per cell]
Pr 0.0000 0.0000 0.5000 [3 per cell]
Au 0.0000 0.0000 0.2463 [6 per cell]